Na2CaCdCl6 | PBE | relaxed

Cell lengths 5.395, 7.554, 7.554 Å; angles 90.00, 90.00, 90.00 degrees
Fractional positions:
Cl  0.728  0.754  0.754
Cl  0.188  0.000  0.000
Cl  0.728  0.246  0.754
Cl  0.728  0.246  0.246
Cl  0.180  0.500  0.500
Cl  0.728  0.754  0.246
Na  0.921  0.500  0.000
Na  0.921  0.000  0.500
Ca  0.670  0.500  0.500
Cd  0.656  0.000  0.000

Values from the calculation:
Space group: P4mm (99)
Formation energy without anion corrections (eV/atom): -1.6668
DOS at the Fermi energy (states/eV/atom): 0.000
Magnetic moment (μB/cell): 0.00



Ca2CdCl2O2 | PBE | relaxed

Cell lengths 4.315, 4.315, 7.794 Å; angles 106.07, 106.07, 90.00 degrees
Fractional positions:
Ca  0.393  0.393  0.786
Ca  0.607  0.607  0.214
Cl  0.194  0.194  0.387
Cl  0.806  0.806  0.613
O  0.500  0.000  0.000
O  0.000  0.500  0.000
Cd  0.000  0.000  0.000

Values from the calculation:
Space group: I4/mmm (139)
Formation energy without anion corrections (eV/atom): -1.9668
Magnetic moment (μB/cell): 0.00



CaCdCl2O | PBE | relaxed

Cell lengths 3.868, 6.549, 8.501 Å; angles 90.00, 90.00, 107.18 degrees
Fractional positions:
Cd  0.000  0.000  0.000
Cd  0.000  0.000  0.500
Cl  0.647  0.294  0.568
Cl  0.353  0.706  0.432
Cl  0.353  0.706  0.068
Cl  0.647  0.294  0.932
O  0.078  0.156  0.250
O  0.922  0.844  0.750
Ca  0.675  0.350  0.250
Ca  0.325  0.650  0.750

Values from the calculation:
Space group: Cmcm (63)
Formation energy without anion corrections (eV/atom): -1.7610
DOS at the Fermi energy (states/eV/atom): 0.000
Magnetic moment (μB/cell): 0.00